VASP calculation (PBE with a Hubbard U) on CsNaMoF6 after structural relaxation.

Output
Energy = -88.82 eV for the cell shown
Volume = 353.3 Å³ per cell
DOS(E_F) = 0.0 states/eV/f.u.
Space-group type = No. 74

a = 7.871 Å, b = 8.231 Å, c = 7.884 Å
α = 121.46°, β = 119.94°, γ = 90.00°
Sites, in units of the cell vectors:
Cs 0.895 0.645 0.790
Cs 0.105 0.355 0.210
Na 0.500 0.000 0.500
Na 0.000 0.000 0.500
Mo 0.500 0.500 0.000
Mo 0.500 0.000 0.000
F 0.476 0.726 0.951
F 0.850 0.100 0.699
F 0.803 0.114 0.252
F 0.449 0.638 0.252
F 0.449 0.114 0.252
F 0.803 0.638 0.252
F 0.524 0.274 0.049
F 0.150 0.900 0.301
F 0.197 0.886 0.748
F 0.551 0.362 0.748
F 0.551 0.886 0.748
F 0.197 0.362 0.748